# V2RuSeF | the Alexandria database | PBE with a Hubbard U | relaxed
data_V2RuSeF
_chemical_formula_sum 'V2 Ru1 Se1 F1'
_cell_length_a 4.8630
_cell_length_b 4.8630
_cell_length_c 4.0618
_cell_angle_alpha 90.00
_cell_angle_beta 90.00
_cell_angle_gamma 90.00
_symmetry_space_group_name_H-M 'P 4/m m m'
_symmetry_Int_Tables_number 123
_symmetry_space_group_name_Hall '-P 4 2'
loop_
_atom_site_label
_atom_site_type_symbol
_atom_site_fract_x
_atom_site_fract_y
_atom_site_fract_z
V1 V 0.0000 0.5000 0.0000
Ru1 Ru 0.0000 0.0000 0.5000
Se1 Se 0.5000 0.5000 0.0000
F1 F 0.5000 0.5000 0.5000
# - Fermi-level density of states: 4.42 states/eV/f.u.
# - Electronic total energy: -5.04 eV/atom